Entry 1:
# YMgFe

A relaxed structure of YMgFe (PBE, the Alexandria database).

a b c (Å): 4.6297 4.6297 4.6297
angles (deg): 60.00 60.00 60.00
Element x y z (fractional)
Y1 0.0000 0.0000 0.0000
Mg1 0.5000 0.5000 0.5000
Fe1 0.7500 0.7500 0.7500

Calculated values
density of states at the Fermi level = 5.9 states/eV per cell
formation energy = 0.4153 eV/atom

---

Entry 2:
# Sr4SbBr

A relaxed structure of Sr4SbBr (PBE, the Alexandria database).

a b c (Å): 7.1557 7.1557 7.1557
angles (deg): 60.00 60.00 60.00
Element x y z (fractional)
Sr1 0.3764 0.3764 0.3764
Sr2 0.3764 0.3764 0.8709
Sr3 0.3764 0.8709 0.3764
Sr4 0.8709 0.3764 0.3764
Sb1 0.7500 0.7500 0.7500
Br1 0.0000 0.0000 0.0000

Calculated values
formation energy from raw total energies = -0.56 eV per formula unit
density of states at the Fermi level = 6.7 states/eV per cell

---

Entry 3:
# MgNbCu3

A relaxed structure of MgNbCu3 (PBE, the Alexandria database).

a b c (Å): 4.3572 4.3572 4.3572
angles (deg): 90.00 90.00 90.00
Element x y z (fractional)
Mg1 0.0000 0.0000 0.0000
Nb1 0.5000 0.5000 0.5000
Cu1 0.0000 0.0000 0.5000
Cu2 0.0000 0.5000 0.0000
Cu3 0.5000 0.0000 0.0000

Calculated values
density of states at the Fermi level = 4.8 states/eV per cell
formation energy = 1.0647 eV/atom
ΔE to the lowest computed polymorph = 0 meV per atom

---

Entry 4:
# Pm2Pr12Dy5

A relaxed structure of Pm2Pr12Dy5 (PBE, the Alexandria database).

a b c (Å): 9.5060 9.5060 8.1180
angles (deg): 91.66 91.66 66.48
Element x y z (fractional)
Pm1 0.2452 0.7548 0.0000
Pm2 0.7548 0.2452 0.0000
Pr1 0.0384 0.5829 0.2076
Pr2 0.1487 0.1487 0.1186
Pr3 0.1677 0.6200 0.6112
Pr4 0.3800 0.8323 0.3888
Pr5 0.4171 0.9616 0.7924
Pr6 0.4475 0.4475 0.2870
Pr7 0.5525 0.5525 0.7130
Pr8 0.5829 0.0384 0.2076
Pr9 0.6200 0.1677 0.6112
Pr10 0.8323 0.3800 0.3888
Pr11 0.8513 0.8513 0.8814
Pr12 0.9616 0.4171 0.7924
Dy1 0.0000 0.0000 0.5000
Dy2 0.2450 0.2450 0.4883
Dy3 0.3489 0.3489 0.9123
Dy4 0.6511 0.6511 0.0877
Dy5 0.7550 0.7550 0.5117

Calculated values
density of states at the Fermi level = 26.7 states/eV per cell
formation energy = 0.1241 eV/atom
ΔE to the lowest computed polymorph = 30 meV per atom

---

Entry 5:
# As3SeI7

A relaxed structure of As3SeI7 (PBE, the Alexandria database).

a b c (Å): 8.1792 8.1792 7.3826
angles (deg): 90.00 90.00 120.00
Element x y z (fractional)
As1 0.0175 0.5087 0.0000
As2 0.4913 0.5087 0.0000
As3 0.4913 0.9825 0.0000
Se1 0.3333 0.6667 0.1871
I1 0.1687 0.3373 0.7647
I2 0.1687 0.8313 0.7647
I3 0.3342 0.1671 0.2236
I4 0.6627 0.8313 0.7647
I5 0.6667 0.3333 0.7566
I6 0.8329 0.1671 0.2236
I7 0.8329 0.6658 0.2236

Calculated values
formation energy from raw total energies = -1.71 eV per formula unit

---

Entry 6:
# CaFeHg2B

A relaxed structure of CaFeHg2B (PBE, the Alexandria database).

a b c (Å): 4.7271 4.7271 4.2299
angles (deg): 90.00 90.00 90.00
Element x y z (fractional)
Ca1 0.0000 0.0000 0.0000
Fe1 0.5000 0.5000 0.0000
Hg1 0.0000 0.5000 0.5000
Hg2 0.5000 0.0000 0.5000
B1 0.5000 0.5000 0.5000

Calculated values
density of states at the Fermi level = 2.8 states/eV per cell
formation energy = 0.3087 eV/atom

---

Entry 7:
# NiIr2Ru

A relaxed structure of NiIr2Ru (PBE, the Alexandria database).

a b c (Å): 5.1964 5.1964 5.1964
angles (deg): 149.13 129.64 60.24
Element x y z (fractional)
Ni1 0.0000 0.0000 0.0000
Ir1 0.2277 0.7277 0.5000
Ir2 0.7723 0.2723 0.5000
Ru1 0.5000 0.5000 0.0000

Calculated values
density of states at the Fermi level = 5.6 states/eV per cell
formation energy = 0.2345 eV/atom
ΔE to the lowest computed polymorph = 245 meV per atom

---

Entry 8:
# Ti8VGa6

A relaxed structure of Ti8VGa6 (PBE, the Alexandria database).

a b c (Å): 6.9143 6.9143 6.9143
angles (deg): 65.61 65.61 65.61
Element x y z (fractional)
Ti1 0.0531 0.3854 0.7203
Ti2 0.1658 0.1658 0.1658
Ti3 0.2797 0.9469 0.6146
Ti4 0.3854 0.7203 0.0531
Ti5 0.6146 0.2797 0.9469
Ti6 0.7203 0.0531 0.3854
Ti7 0.8342 0.8342 0.8342
Ti8 0.9469 0.6146 0.2797
V1 0.5000 0.5000 0.5000
Ga1 0.1119 0.7695 0.4427
Ga2 0.2305 0.5573 0.8881
Ga3 0.4427 0.1119 0.7695
Ga4 0.5573 0.8881 0.2305
Ga5 0.7695 0.4427 0.1119
Ga6 0.8881 0.2305 0.5573

Calculated values
density of states at the Fermi level = 11.8 states/eV per cell
formation energy = -0.0902 eV/atom

---

Question: Number 8 is which compound?
Answer: Ti8VGa6